{
  "formula": "Pm4NdTh3S8",
  "functional": "PBE-GGA",
  "state": "optimized geometry",
  "crystal_system": "trigonal",
  "vol_a3_per_atom": 23.284,
  "final_energy_ev_per_atom": -6.90,
  "lattice_angstrom": [[4.0214, 2.3217, 6.6501], [-4.0214, 2.3217, 6.6501], [0.0000, -4.6435, 6.6501]],
  "species": ["Pm", "Pm", "Pm", "Pm", "Nd", "Th", "Th", "Th", "S", "S", "S", "S", "S", "S", "S", "S"],
  "fractional_positions": [[0.0000, 0.0000, 0.0000], [0.0000, 0.5000, 0.5000], [0.5000, 0.0000, 0.5000], [0.5000, 0.5000, 0.0000], [0.5000, 0.5000, 0.5000], [0.0000, 0.0000, 0.5000], [0.0000, 0.5000, 0.0000], [0.5000, 0.0000, 0.0000], [0.2489, 0.2489, 0.7498], [0.2489, 0.7498, 0.2489], [0.2502, 0.7511, 0.7511], [0.2511, 0.2511, 0.2511], [0.7489, 0.7489, 0.7489], [0.7498, 0.2489, 0.2489], [0.7511, 0.2502, 0.7511], [0.7511, 0.7511, 0.2502]]
}

{
  "formula": "Hg5Pb",
  "functional": "PBE-GGA",
  "state": "optimized geometry",
  "crystal_system": "monoclinic",
  "vol_a3_per_atom": 27.288,
  "e_form_ev_per_atom": 0.031,
  "relative_energy_mev_per_atom": 9,
  "lattice_angstrom": [[6.1448, -1.7192, 0.0000], [6.1448, 1.7192, 0.0000], [-2.1218, 0.0000, 7.7491]],
  "species": ["Hg", "Hg", "Hg", "Hg", "Hg", "Pb"],
  "fractional_positions": [[0.0000, 0.0000, 0.0000], [0.0554, 0.0554, 0.6266], [0.3299, 0.3299, 0.6764], [0.6636, 0.6636, 0.3444], [0.7192, 0.7192, 0.9471], [0.3896, 0.3896, 0.2882]]
}

{
  "formula": "Pa5Ge4S",
  "functional": "PBE-GGA",
  "state": "optimized geometry",
  "crystal_system": "tetragonal",
  "vol_a3_per_atom": 24.189,
  "final_energy_ev_per_atom": -7.69,
  "lattice_angstrom": [[-4.5720, 4.5720, 2.8929], [4.5720, -4.5720, 2.8929], [4.5720, 4.5720, -2.8929]],
  "species": ["Pa", "Pa", "Pa", "Pa", "Pa", "Ge", "Ge", "Ge", "Ge", "S"],
  "fractional_positions": [[0.0000, 0.0000, 0.0000], [0.2080, 0.5986, 0.8066], [0.4014, 0.2080, 0.6093], [0.5986, 0.7920, 0.3907], [0.7920, 0.4014, 0.1934], [0.0965, 0.3019, 0.3983], [0.3019, 0.9035, 0.2054], [0.6981, 0.0965, 0.7946], [0.9035, 0.6981, 0.6017], [0.5000, 0.5000, 0.0000]]
}

{
  "formula": "CrPb2Se",
  "functional": "PBE-GGA",
  "state": "optimized geometry",
  "crystal_system": "orthorhombic",
  "vol_a3_per_atom": 25.221,
  "final_energy_ev_per_atom": -4.83,
  "lattice_angstrom": [[3.7114, 0.0000, 0.0000], [0.0000, 5.1273, 0.0000], [0.0000, 0.0000, 5.3015]],
  "species": ["Cr", "Pb", "Pb", "Se"],
  "fractional_positions": [[0.0000, 0.0000, 0.0000], [0.0000, 0.5000, 0.5000], [0.5000, 0.5000, 0.0000], [0.5000, 0.0000, 0.5000]]
}

{
  "formula": "Rb2GaI3",
  "functional": "PBE-GGA",
  "state": "optimized geometry",
  "crystal_system": "monoclinic",
  "vol_a3_per_atom": 49.098,
  "relative_energy_mev_per_atom": 0,
  "lattice_angstrom": [[7.3915, 0.0000, 0.0000], [0.0000, 15.4903, 0.0000], [-0.2301, 0.0000, 10.2915]],
  "species": ["Rb", "Rb", "Rb", "Rb", "Rb", "Rb", "Rb", "Rb", "Ga", "Ga", "Ga", "Ga", "I", "I", "I", "I", "I", "I", "I", "I", "I", "I", "I", "I"],
  "fractional_positions": [[0.2481, 0.0838, 0.3668], [0.2481, 0.4162, 0.8668], [0.2522, 0.7447, 0.8801], [0.2522, 0.7553, 0.3801], [0.7478, 0.2447, 0.6199], [0.7478, 0.2553, 0.1199], [0.7519, 0.5838, 0.1332], [0.7519, 0.9162, 0.6332], [0.2793, 0.0794, 0.8611], [0.2793, 0.4206, 0.3611], [0.7207, 0.5794, 0.6389], [0.7207, 0.9206, 0.1389], [0.2492, 0.2305, 0.6455], [0.2492, 0.2695, 0.1455], [0.2526, 0.5717, 0.1452], [0.2526, 0.9283, 0.6452], [0.3067, 0.5822, 0.6203], [0.3067, 0.9178, 0.1203], [0.6933, 0.0822, 0.8797], [0.6933, 0.4178, 0.3797], [0.7474, 0.0717, 0.3548], [0.7474, 0.4283, 0.8548], [0.7508, 0.7305, 0.8545], [0.7508, 0.7695, 0.3545]]
}

{
  "formula": "CaGe2Ir2",
  "functional": "PBE-GGA",
  "state": "optimized geometry",
  "crystal_system": "tetragonal",
  "vol_a3_per_atom": 18.954,
  "e_form_ev_per_atom": -0.484,
  "lattice_angstrom": [[-2.1392, 2.1392, 5.1772], [2.1392, -2.1392, 5.1772], [2.1392, 2.1392, -5.1772]],
  "species": ["Ca", "Ge", "Ge", "Ir", "Ir"],
  "fractional_positions": [[0.0000, 0.0000, 0.0000], [0.2500, 0.7500, 0.5000], [0.7500, 0.2500, 0.5000], [0.3763, 0.3763, 0.0000], [0.6237, 0.6237, 0.0000]]
}

{
  "formula": "KCaSO4",
  "functional": "PBE-GGA",
  "state": "optimized geometry",
  "crystal_system": "orthorhombic",
  "vol_a3_per_atom": 15.506,
  "final_energy_ev_per_atom": -5.51,
  "lattice_angstrom": [[-3.4209, 3.4225, 4.6355], [3.4209, -3.4225, 4.6355], [3.4209, 3.4225, -4.6355]],
  "species": ["K", "K", "Ca", "Ca", "S", "S", "O", "O", "O", "O", "O", "O", "O", "O"],
  "fractional_positions": [[0.5000, 0.0000, 0.0000], [0.5000, 0.5000, 0.5000], [0.0000, 0.0000, 0.0000], [0.5000, 0.0000, 0.5000], [0.1049, 0.3549, 0.7500], [0.8951, 0.6451, 0.2500], [0.1684, 0.7394, 0.4290], [0.1896, 0.2606, 0.9290], [0.1980, 0.2682, 0.5701], [0.1980, 0.6279, 0.9299], [0.8020, 0.3721, 0.0701], [0.8020, 0.7318, 0.4299], [0.8104, 0.7394, 0.0710], [0.8316, 0.2606, 0.5710]]
}

{
  "formula": "Mg3AlSi",
  "functional": "PBE-GGA",
  "state": "optimized geometry",
  "crystal_system": "cubic",
  "vol_a3_per_atom": 26.239,
  "relative_energy_mev_per_atom": 340,
  "lattice_angstrom": [[5.0812, 0.0000, 0.0000], [0.0000, 5.0812, 0.0000], [0.0000, 0.0000, 5.0812]],
  "species": ["Mg", "Mg", "Mg", "Al", "Si"],
  "fractional_positions": [[0.0000, 0.0000, 0.5000], [0.0000, 0.5000, 0.0000], [0.5000, 0.0000, 0.0000], [0.0000, 0.0000, 0.0000], [0.5000, 0.5000, 0.5000]]
}